Density functional theory data (GGA-PBE) for an optimized crystal structure of SrSbW.

space group	F-43m
energy above the lowest structure with this stoichiometry	577	meV/atom

a = 5.2022 Å, b = 5.2022 Å, c = 5.2022 Å
α = 60.00°, β = 60.00°, γ = 60.00°
Element x y z (fractional)
Sb (0.2500, 0.2500, 0.2500)
Sr (0.0000, 0.0000, 0.0000)
W (0.7500, 0.7500, 0.7500)

=====

Density functional theory data (GGA-PBE) for an optimized crystal structure of Pr2As.

total energy	-27.990	eV per cell
space group	Fd-3m

a = 6.2861 Å, b = 6.2861 Å, c = 6.2861 Å
α = 60.00°, β = 60.00°, γ = 60.00°
Element x y z (fractional)
As (0.0000, 0.0000, 0.0000)
As (0.2500, 0.2500, 0.2500)
Pr (0.6250, 0.6250, 0.1250)
Pr (0.6250, 0.1250, 0.6250)
Pr (0.1250, 0.6250, 0.6250)
Pr (0.6250, 0.6250, 0.6250)

=====

Density functional theory data (GGA-PBE) for an optimized crystal structure of TcO2.

space group	Fd-3m
energy above the lowest structure with this stoichiometry	2647	meV/atom

a = 4.3042 Å, b = 4.3042 Å, c = 4.3042 Å
α = 60.00°, β = 60.00°, γ = 60.00°
Each line ends with the local moment (μB).
Element x y z (fractional)
O (0.6250, 0.6250, 0.1250)  0.47
O (0.6250, 0.1250, 0.6250)  0.49
O (0.1250, 0.6250, 0.6250)  0.35
O (0.6250, 0.6250, 0.6250)  0.46
Tc (0.0000, 0.0000, 0.0000)  0.43
Tc (0.2500, 0.2500, 0.2500)  0.43

=====

Density functional theory data (GGA-PBE) for an optimized crystal structure of HfBeNO.

space group	Pmc2_1
energy above the lowest structure with this stoichiometry	291	meV/atom

a = 3.0609 Å, b = 4.6137 Å, c = 5.8126 Å
α = 90.00°, β = 90.00°, γ = 90.00°
Element x y z (fractional)
Be (0.5000, 0.9972, 0.1657)
Be (0.5000, 0.4972, 0.8343)
Hf (0.0000, 0.4744, 0.3268)
Hf (0.0000, 0.9744, 0.6732)
N (0.0000, 0.9444, 0.3198)
N (0.0000, 0.4444, 0.6802)
O (0.5000, 0.3380, 0.0828)
O (0.5000, 0.8380, 0.9172)